[1]
HoZn2CuPd4 (PBE, optimized geometry); space group = R-3m; energy relative to the elements = -0.5587 eV/atom
1.0
-2.9168 -3.2549 0.5578
0.7264 -3.9454 -1.8219
2.9809 -4.6406 5.9102
Ho Pd Zn Cu
1 4 2 1
Direct
0.0000 0.0000 0.0000
0.3895 0.3895 0.8314
0.1267 0.1267 0.6200
0.6105 0.6105 0.1686
0.8733 0.8733 0.3800
0.7574 0.7574 0.7279
0.2426 0.2426 0.2721
0.5000 0.5000 0.5000

***

[2]
CsYW3 (PBE, optimized geometry); space group = Pm-3m; energy relative to the elements = 3.2727 eV/atom
1.0
4.9857 0.0000 0.0000
0.0000 4.9857 0.0000
0.0000 0.0000 4.9857
W Y Cs
3 1 1
Direct
0.0000 0.0000 0.5000
0.0000 0.5000 0.0000
0.5000 0.0000 0.0000
0.5000 0.5000 0.5000
0.0000 0.0000 0.0000

***

[3]
MnSi3S (PBE, optimized geometry); space group = Pm-3m
1.0
4.4061 0.0000 0.0000
0.0000 4.4061 0.0000
0.0000 0.0000 4.4061
S Mn Si
1 1 3
Direct
0.0000 0.0000 0.0000
0.5000 0.5000 0.5000
0.5000 0.0000 0.0000
0.0000 0.0000 0.5000
0.0000 0.5000 0.0000

***

Number 1: raw total energy -4.56 eV/atom. Number 2: raw total energy -5.96 eV/atom. Number 3: raw total energy -4.58 eV/atom.